(1)
Below is a geometry-optimized Cu2AgOs structure, with properties calculated at the GGA-PBEsol level.

Results
The energy above the most stable polymorph in this dataset is 0.108 eV per atom. The energy comes out at -5.61 eV/atom. The calculation puts the formation enthalpy at 0 K at 0.435 eV per atom.

Cell: 2.5818 4.5207 9.1634 Å, 90.00 90.00 90.00°
Space group Imm2 (No. 44)
Unique sites:
1 Cu 0.0000 0.0000 0.0000 (multiplicity 2)
2 Cu 0.0000 0.5000 0.2716 (multiplicity 2)
3 Ag 0.0000 0.5000 0.7533 (multiplicity 2)
4 Os 0.0000 0.0000 0.5272 (multiplicity 2)

---

(2)
Below is a geometry-optimized CuAgOs structure, with properties calculated at the GGA-PBEsol level.

Results
The energy comes out at -6.12 eV/atom. The calculation puts the formation enthalpy at 0 K at 0.496 eV per atom.

Cell: 2.6297 2.6297 12.1328 Å, 90.00 90.00 90.00°
Space group I4mm (No. 107)
Unique sites:
1 Cu 0.0000 0.0000 0.0000 (multiplicity 2)
2 Ag 0.0000 0.0000 0.3343 (multiplicity 2)
3 Os 0.0000 0.0000 0.6524 (multiplicity 2)

---

(3)
Below is a geometry-optimized Cu2AgOs structure, with properties calculated at the GGA-PBEsol level.

Results
The energy above the most stable polymorph in this dataset is 0.000 eV per atom. The energy comes out at -5.72 eV/atom. The calculation puts the formation enthalpy at 0 K at 0.327 eV per atom.

Cell: 2.6327 2.6327 7.7182 Å, 90.00 90.00 90.00°
Space group P4/mmm (No. 123)
Unique sites:
1 Cu 0.0000 0.0000 0.2404 (multiplicity 2)
2 Ag 0.5000 0.5000 0.5000 (multiplicity 1)
3 Os 0.5000 0.5000 0.0000 (multiplicity 1)

---

(4)
Below is a geometry-optimized CuAg2P structure, with properties calculated at the GGA-PBEsol level.

Results
The energy comes out at -3.94 eV/atom. The calculation puts the formation enthalpy at 0 K at 0.243 eV per atom.

Cell: 2.8330 2.8330 25.8339 Å, 90.00 90.00 120.00°
Space group R-3m (No. 166, hexagonal axes)
Unique sites:
1 Cu 0.0000 0.0000 0.0000 (multiplicity 3)
2 Ag 0.0000 0.0000 0.2519 (multiplicity 6)
3 P 0.0000 0.0000 0.5000 (multiplicity 3)

---

(5)
Below is a geometry-optimized CuAg2P structure, with properties calculated at the GGA-PBEsol level.

Results
The energy comes out at -4.01 eV/atom. The calculation puts the formation enthalpy at 0 K at 0.173 eV per atom.

Cell: 3.0986 4.4449 8.7200 Å, 90.00 90.00 90.00°
Space group Imm2 (No. 44)
Unique sites:
1 Cu 0.0000 0.0000 0.0000 (multiplicity 2)
2 Ag 0.0000 0.0000 0.5440 (multiplicity 2)
3 Ag 0.0000 0.5000 0.7604 (multiplicity 2)
4 P 0.0000 0.5000 0.3029 (multiplicity 2)

---

(6)
Below is a geometry-optimized CuAg2P structure, with properties calculated at the GGA-PBEsol level.

Results
The energy comes out at -3.98 eV/atom. The calculation puts the formation enthalpy at 0 K at 0.209 eV per atom.

Cell: 3.8713 3.8713 7.9359 Å, 90.00 90.00 90.00°
Space group I4/mmm (No. 139)
Unique sites:
1 Cu 0.0000 0.0000 0.0000 (multiplicity 2)
2 Ag 0.0000 0.5000 0.2500 (multiplicity 4)
3 P 0.0000 0.0000 0.5000 (multiplicity 2)

---

(7)
Below is a geometry-optimized CuAgP2 structure, with properties calculated at the GGA-PBEsol level.

Results
The energy above the most stable polymorph in this dataset is 0.101 eV per atom. The energy comes out at -4.52 eV/atom. The calculation puts the formation enthalpy at 0 K at 0.291 eV per atom.

Cell: 2.6019 2.6019 8.8953 Å, 90.00 90.00 90.00°
Space group P4mm (No. 99)
Unique sites:
1 Cu 0.0000 0.0000 0.0000 (multiplicity 1)
2 Ag 0.5000 0.5000 0.7662 (multiplicity 1)
3 P 0.0000 0.0000 0.5216 (multiplicity 1)
4 P 0.5000 0.5000 0.1882 (multiplicity 1)

---

(8)
Below is a geometry-optimized CuAgP2 structure, with properties calculated at the GGA-PBEsol level.

Results
The energy above the most stable polymorph in this dataset is 0.000 eV per atom. The energy comes out at -4.62 eV/atom. The calculation puts the formation enthalpy at 0 K at 0.190 eV per atom.

Cell: 2.6104 3.1584 7.3797 Å, 90.00 99.87 90.00°
Space group Pm (No. 6)
Unique sites:
1 Cu 0.0000 0.0000 0.0000 (multiplicity 1)
2 Ag 0.3835 0.5000 0.7587 (multiplicity 1)
3 P 0.1190 0.5000 0.2431 (multiplicity 1)
4 P 0.2278 0.0000 0.4673 (multiplicity 1)